DFT (GGA-PBE) results for a relaxed K2NaAg3C6N6 crystal.

Output
The symmetry is P-31m, No. 162. The calculation puts the formation energy (no corrections) at 0.01 eV per atom. Its raw total energy is -6.511 eV per atom.

Structure (POSCAR):
```
K2NaAg3C6N6
1.0
7.187 0.000 0.000
-3.593 6.224 0.000
0.000 0.000 8.653
K Na Ag C N
2 1 3 6 6
Direct
0.333 0.667 0.000
0.667 0.333 0.000
0.000 0.000 0.000
0.000 0.500 0.500
0.500 0.000 0.500
0.500 0.500 0.500
0.000 0.368 0.711
0.000 0.632 0.289
0.368 0.000 0.711
0.368 0.368 0.289
0.632 0.000 0.289
0.632 0.632 0.711
0.000 0.298 0.833
0.000 0.702 0.167
0.298 0.000 0.833
0.298 0.298 0.167
0.702 0.000 0.167
0.702 0.702 0.833
```